1.
A relaxed structure of KAlPb. Source: the Alexandria database, functional PBE.

```
KAlPb
1.0
-3.392 1.335 -7.885
-0.411 -5.015 -0.672
-7.570 0.180 3.287
K Al Pb
4 4 4
Cartesian
-4.262 -0.533 -3.002 K
-6.585 -3.607 2.182 K
-4.788 0.107 -7.453 K
-7.111 -2.967 -2.269 K
-6.258 -2.569 -5.757 Al
-2.128 -3.295 -2.871 Al
-9.245 -0.205 -2.400 Al
-5.115 -0.931 0.486 Al
-7.421 -0.045 -4.712 Pb
-8.041 -0.657 0.236 Pb
-3.952 -3.455 -0.558 Pb
-3.331 -2.843 -5.507 Pb
```

Values from the calculation:
Formation energy from the elements in eV per atom: -0.0295
Space-group type: Pnma

2.
A relaxed structure of UPaCSe. Source: the Alexandria database, functional PBE.

```
UPaCSe
1.0
3.589 0.000 0.000
-1.794 3.109 0.000
-1.794 -1.036 7.061
U Se Pa C
1 1 1 1
Cartesian
0.339 -0.227 4.721 U
2.134 0.809 2.591 Se
-1.455 2.881 0.466 Pa
-1.455 0.809 6.129 C
```

Values from the calculation:
Space-group type: R3m
Formation energy from raw total energies in meV per atom: -704.5